# 1
First-principles (PBE) data for a relaxed Mg2ZrZn crystal, as listed in Alexandria via LeMat-Bulk.

Lattice parameters (Å, degrees): 4.492 3.044 6.154 75.65 90.00 90.00
Positions (direct):
Mg  0.000  0.055  0.014
Mg  0.500  0.437  0.248
Zn  0.000  0.304  0.520
Zr  0.500  0.703  0.719

For the formation energy, the calculation gives -53 meV per atom. As for the total energy: -13.2 eV for the cell shown.



# 2
First-principles (PBE) data for a relaxed Mg2Zr2Zn3 crystal, as listed in Alexandria via LeMat-Bulk.

Lattice parameters (Å, degrees): 4.591 4.601 8.032 89.96 106.52 120.00
Positions (direct):
Mg  0.262  0.131  0.394
Mg  0.738  0.869  0.606
Zr  0.762  0.381  0.143
Zr  0.238  0.619  0.857
Zn  0.000  0.000  0.000
Zn  0.503  0.251  0.754
Zn  0.497  0.749  0.246

For the formation energy, the calculation gives -86 meV per atom. As for the total energy: -24.7 eV for the cell shown.



# 3
First-principles (PBE) data for a relaxed Mg2ZrZn crystal, as listed in Alexandria via LeMat-Bulk.

Lattice parameters (Å, degrees): 2.986 4.276 6.327 90.00 90.00 90.00
Positions (direct):
Mg  0.000  0.000  0.002
Mg  0.500  0.500  0.256
Zn  0.000  0.000  0.509
Zr  0.500  0.500  0.733

For the formation energy, the calculation gives -17 meV per atom. As for the total energy: -13.1 eV for the cell shown.



# 4
First-principles (PBE) data for a relaxed Mg2ZrZn crystal, as listed in Alexandria via LeMat-Bulk.

Lattice parameters (Å, degrees): 4.669 3.062 5.779 78.40 90.00 90.00
Positions (direct):
Mg  0.000  0.100  0.012
Mg  0.000  0.400  0.488
Zn  0.500  0.250  0.250
Zr  0.500  0.750  0.750

For the formation energy, the calculation gives 0 meV per atom. As for the total energy: -13.0 eV for the cell shown.